Ho2ErPuBi4: optimized geometry, PBE-GGA.

Summary:
Total energy: -6.142 eV per atom
Calculated volume: 254 Å³/cell

abc: 4.480 7.756 7.758
angles: 109.40 90.00 90.00
Last column: magnetic moment on the atom in μB.
Positions (direct):
Bi: 0.500 0.752 0.749  -0.04
Bi: 0.000 0.247 0.747  -0.08
Bi: 0.500 0.248 0.251  -0.04
Bi: 0.000 0.753 0.253  -0.08
Er: 0.000 0.000 0.000  -0.01
Ho: 0.000 0.500 0.500  -0.01
Ho: 0.500 0.000 0.500  -0.07
Pu: 0.500 0.500 0.000  5.30